A relaxed ZrCd2Au crystal, computed with PBE.

Results
- ΔE_f (eV/atom) = -0.0701
- space group = No. 166

abc: 10.259 10.259 10.259
angles: 17.28 17.28 17.28
Element x y z (fractional)
Au1 0.750 0.750 0.750
Cd1 0.005 0.005 0.005
Cd2 0.495 0.495 0.495
Zr1 0.250 0.250 0.250

A relaxed OsPt2Br crystal, computed with PBE.

Results
- relative energy among the computed polymorphs (kJ/mol of atoms) = 54.4
- formation energy from raw total energies (eV per atom) = 1.006
- space group = No. 119

abc: 4.487 4.487 4.487
angles: 117.92 117.92 93.64
Element x y z (fractional)
Os1 0.750 0.250 0.500
Br1 0.500 0.500 0.000
Pt1 0.000 0.000 0.000
Pt2 0.250 0.750 0.500

A relaxed CaMnMoPd2 crystal, computed with PBE.

Results
- ΔE_f (eV/atom) = 1.1325
- space group = No. 123

abc: 4.841 5.174 4.841
angles: 90.00 90.00 90.00
Element x y z (fractional)
Mo1 0.000 0.000 0.000
Mn1 0.500 0.500 0.500
Ca1 0.000 0.500 0.000
Pd1 0.000 0.000 0.500
Pd2 0.500 0.000 0.000

no.,energy (eV/f.u.),mass density (g cm⁻³)
1,-13.94,10.2
2,-20.96,16.7
3,-26.73,5.5